Entry from OQMD via LeMat-Bulk: UZnAs after structural relaxation (PBE).

Cell lengths 6.6661, 6.6661, 6.6661 Å; angles 90.00, 90.00, 90.00 degrees
Closest atoms and distances in Å follow each position.
Space group F-43m (No. 216)
Unique sites:
U (0.0000, 0.0000, 0.0000) (multiplicity 4)  4 As 2.89, 4 Zn 2.89
Zn (0.2500, 0.2500, 0.2500) (multiplicity 4)  4 U 2.89
As (0.2500, 0.2500, 0.7500) (multiplicity 4)  4 U 2.89

Results
For the calculated total energy, the calculation gives -67.932 eV/cell. Its total magnetization is 2.954 μB/f.u.



Entry from OQMD via LeMat-Bulk: ZrU3As2 after structural relaxation (PBE).

Cell lengths 3.7247, 3.7247, 12.2991 Å; angles 90.00, 90.00, 120.00 degrees
Closest atoms and distances in Å follow each position.
Space group P-3m1 (No. 164)
Unique sites:
Zr (0.0000, 0.0000, 0.0000) (multiplicity 1)  6 U 3.22
U (0.0000, 0.0000, 0.5000) (multiplicity 1)  6 As 2.85
U (0.3333, 0.6667, 0.8055) (multiplicity 2)  3 As 2.86
As (0.3333, 0.6667, 0.3475) (multiplicity 2)  6 U 2.85-2.86

Results
For the calculated total energy, the calculation gives -52.109 eV/cell. Its total magnetization is 9.122 μB/f.u.



Entry from OQMD via LeMat-Bulk: As2W after structural relaxation (PBE).

Cell lengths 10.8485, 10.8485, 10.8485 Å; angles 90.00, 90.00, 90.00 degrees
Closest atoms and distances in Å follow each position.
Space group Fd-3m (No. 227, origin choice 2)
Unique sites:
As (0.0000, 0.0000, 0.0000) (multiplicity 16)  2 W 2.35
W (0.1250, 0.1250, 0.1250) (multiplicity 8)  4 As 2.35

Results
For the calculated total energy, the calculation gives -160.962 eV/cell. Its total magnetization is 0.003 μB/f.u.